Record 1
A plane-wave DFT calculation with GGA-PBEsol was carried out for crystalline ErSe2 at its relaxed geometry.

abc: 3.8797 5.3736 7.4050
angles: 111.27 105.19 90.00
Last column: nearest neighbours and their distance in Å.
Element x y z (fractional)
Se (0.7892, 0.2892, 0.5785)  4 Er 2.77-2.85
Se (0.2108, 0.7108, 0.4215)  4 Er 2.77-2.85
Se (0.5000, 0.7503, 0.0000)  2 Se 2.68-2.69, 4 Er 3.00
Se (0.5000, 0.2497, 0.0000)  2 Se 2.68-2.69, 4 Er 3.00
Er (0.1395, 0.1395, 0.2790)  8 Se 2.77-3.00
Er (0.8605, 0.8605, 0.7210)  8 Se 2.77-3.00

Results
E (eV per atom): -5.77
Formation energy from raw total energies (eV/atom): -1.56


Record 2
A plane-wave DFT calculation with GGA-PBEsol was carried out for crystalline SmEr3Se6 at its relaxed geometry.

abc: 4.0254 11.3423 11.6578
angles: 109.21 90.00 90.00
Last column: nearest neighbours and their distance in Å.
Element x y z (fractional)
Sm (0.7500, 0.5468, 0.1957)  8 Se 2.95-3.07
Sm (0.2500, 0.4532, 0.8043)  8 Se 2.95-3.07
Er (0.7500, 0.6585, 0.5841)  6 Se 2.73-2.83
Er (0.2500, 0.3415, 0.4159)  6 Se 2.73-2.83
Er (0.7500, 0.1812, 0.0010)  7 Se 2.77-2.98
Er (0.2500, 0.8188, 0.9990)  7 Se 2.77-2.98
Er (0.7500, 0.9363, 0.3332)  6 Se 2.75-2.84
Er (0.2500, 0.0637, 0.6668)  6 Se 2.75-2.84
Se (0.7500, 0.3043, 0.2497)  3 Er 2.73-2.77, 1 Sm 3.02
Se (0.2500, 0.6957, 0.7503)  3 Er 2.73-2.77, 1 Sm 3.02
Se (0.7500, 0.4156, 0.5966)  3 Er 2.81-2.83, 2 Sm 3.07
Se (0.2500, 0.5844, 0.4034)  3 Er 2.81-2.83, 2 Sm 3.07
Se (0.7500, 0.6161, 0.9662)  3 Sm 2.95-3.03, 2 Er 2.98
Se (0.2500, 0.3839, 0.0338)  3 Sm 2.95-3.03, 2 Er 2.98
Se (0.7500, 0.9830, 0.1160)  4 Er 2.75-2.97
Se (0.2500, 0.0170, 0.8840)  4 Er 2.75-2.97
Se (0.2500, 0.1068, 0.4407)  4 Er 2.77-2.84
Se (0.7500, 0.8932, 0.5593)  4 Er 2.77-2.84
Se (0.2500, 0.7581, 0.2249)  3 Er 2.84-2.93, 2 Sm 3.06
Se (0.7500, 0.2419, 0.7751)  3 Er 2.84-2.93, 2 Sm 3.06

Results
E (eV per atom): -6.18
Formation energy from raw total energies (eV/atom): -1.88